[1]
PmTm | PBEsol | relaxed

The total energy is -4.985 eV per atom. Its crystal system is hexagonal. Its formation energy is 3 kJ per mole of atoms. As for the space-group type: P-6m2 (187). Its density is 8.6 Mg/m³.

abc: 3.5442 3.5442 5.6003
angles: 90.00 90.00 120.00
With the nearest neighbours (Å) after each atom.
Fractional coordinates of all 2 atoms:
Pm1 0.0000 0.0000 0.5000  6 Tm 3.47, 6 Pm 3.54
Tm1 0.3333 0.6667 0.0000  6 Pm 3.47, 6 Tm 3.54


[2]
PmYZn2 | PBEsol | relaxed

The total energy is -4.112 eV per atom. Its crystal system is cubic. Its formation energy is -32 kJ per mole of atoms. As for the space-group type: Fm-3m (225). Its density is 6.8 Mg/m³.

abc: 5.0227 5.0227 5.0227
angles: 60.00 60.00 60.00
With the nearest neighbours (Å) after each atom.
Fractional coordinates of all 4 atoms:
Zn1 0.2500 0.2500 0.2500  4 Y 3.08, 4 Pm 3.08
Zn2 0.7500 0.7500 0.7500  4 Pm 3.08, 4 Y 3.08
Y1 0.0000 0.0000 0.0000  8 Zn 3.08
Pm1 0.5000 0.5000 0.5000  8 Zn 3.08


[3]
PmZn3 | PBEsol | relaxed

The total energy is -2.778 eV per atom. Its crystal system is hexagonal. Its formation energy is -30 kJ per mole of atoms. As for the space-group type: P6_3/mmc (194). Its density is 7.5 Mg/m³.

abc: 4.3294 6.3337 6.3337
angles: 120.00 90.00 90.00
With the nearest neighbours (Å) after each atom.
Fractional coordinates of all 8 atoms:
Zn1 0.7500 0.8558 0.1442  6 Zn 2.68-2.74, 2 Pm 3.00
Zn2 0.2500 0.1442 0.2884  6 Zn 2.68-2.74, 2 Pm 3.00
Zn3 0.2500 0.1442 0.8558  6 Zn 2.68-2.74, 2 Pm 3.00
Zn4 0.7500 0.2884 0.1442  6 Zn 2.68-2.74, 2 Pm 3.00
Pm1 0.2500 0.6667 0.3333  12 Zn 3.00-3.18
Zn5 0.2500 0.7116 0.8558  6 Zn 2.68-2.74, 2 Pm 3.00
Zn6 0.7500 0.8558 0.7116  6 Zn 2.68-2.74, 2 Pm 3.00
Pm2 0.7500 0.3333 0.6667  12 Zn 3.00-3.18


[4]
PrPt2 | PBEsol | relaxed

The total energy is -7.395 eV per atom. Its crystal system is cubic. Its formation energy is -99 kJ per mole of atoms. As for the space-group type: Fd-3m (227). Its density is 15.4 Mg/m³.

abc: 5.4564 5.4564 5.4564
angles: 60.00 60.00 60.00
With the nearest neighbours (Å) after each atom.
Fractional coordinates of all 6 atoms:
Pt1 0.6250 0.1250 0.6250  6 Pt 2.73
Pr1 0.0000 0.0000 0.0000  12 Pt 3.20, 4 Pr 3.34
Pt2 0.1250 0.6250 0.6250  6 Pt 2.73
Pt3 0.6250 0.6250 0.6250  6 Pt 2.73
Pr2 0.2500 0.2500 0.2500  12 Pt 3.20, 4 Pr 3.34
Pt4 0.6250 0.6250 0.1250  6 Pt 2.73


[5]
PrPt | PBEsol | relaxed

The total energy is -7.121 eV per atom. Its crystal system is orthorhombic. Its formation energy is -101 kJ per mole of atoms. As for the space-group type: Cmcm (63). Its density is 11.7 Mg/m³.

abc: 3.8955 4.5181 5.7450
angles: 90.00 109.82 90.00
With the nearest neighbours (Å) after each atom.
Fractional coordinates of all 4 atoms:
Pr1 0.8625 0.2500 0.7249  7 Pt 2.98-3.11
Pt1 0.4136 0.7500 0.8271  2 Pt 2.93, 7 Pr 2.98-3.11
Pr2 0.1375 0.7500 0.2751  7 Pt 2.98-3.11
Pt2 0.5864 0.2500 0.1729  2 Pt 2.93, 7 Pr 2.98-3.11


[6]
Pr3Pt4 | PBEsol | relaxed

The total energy is -7.193 eV per atom. Its crystal system is trigonal. Its formation energy is -96 kJ per mole of atoms. As for the space-group type: R-3 (148). Its density is 13.0 Mg/m³.

abc: 5.7710 8.0778 8.0778
angles: 114.52 103.78 103.78
With the nearest neighbours (Å) after each atom.
Fractional coordinates of all 14 atoms:
Pr1 0.4050 0.1211 0.3752  7 Pt 2.90-3.14
Pr2 0.9702 0.3752 0.2541  7 Pt 2.90-3.14
Pt1 0.0561 0.8361 0.5012  3 Pt 2.88-2.99, 5 Pr 2.90-3.14
Pr3 0.2839 0.2541 0.8789  7 Pt 2.90-3.14
Pt2 0.7800 0.3349 0.8361  3 Pt 2.88-2.99, 5 Pr 2.90-3.14
Pt3 0.4451 0.5012 0.6651  3 Pt 2.88-2.99, 5 Pr 2.90-3.14
Pr4 0.7161 0.7459 0.1211  7 Pt 2.90-3.14
Pt4 0.5549 0.4988 0.3349  3 Pt 2.88-2.99, 5 Pr 2.90-3.14
Pt5 0.9439 0.1639 0.4988  3 Pt 2.88-2.99, 5 Pr 2.90-3.14
Pr5 0.0298 0.6248 0.7459  7 Pt 2.90-3.14
Pr6 0.5950 0.8789 0.6248  7 Pt 2.90-3.14
Pt6 0.2200 0.6651 0.1639  3 Pt 2.88-2.99, 5 Pr 2.90-3.14
Pt7 0.0000 0.0000 0.0000  2 Pt 2.89, 6 Pr 2.95
Pt8 0.5000 0.0000 0.0000  2 Pt 2.89, 6 Pr 3.01


[7]
PrPt | PBEsol | relaxed

The total energy is -7.128 eV per atom. Its crystal system is orthorhombic. Its formation energy is -102 kJ per mole of atoms. As for the space-group type: Pnma (62). Its density is 11.8 Mg/m³.

abc: 4.5570 5.6928 7.3171
angles: 90.00 90.00 90.00
With the nearest neighbours (Å) after each atom.
Fractional coordinates of all 8 atoms:
Pt1 0.7500 0.6504 0.4569  2 Pt 2.92, 7 Pr 2.96-3.11
Pt2 0.2500 0.3496 0.5431  2 Pt 2.92, 7 Pr 2.96-3.11
Pt3 0.7500 0.8496 0.9569  2 Pt 2.92, 7 Pr 2.96-3.11
Pr1 0.7500 0.1381 0.3178  7 Pt 2.96-3.11
Pr2 0.7500 0.3619 0.8178  7 Pt 2.96-3.11
Pt4 0.2500 0.1504 0.0431  2 Pt 2.92, 7 Pr 2.96-3.11
Pr3 0.2500 0.6381 0.1822  7 Pt 2.96-3.11
Pr4 0.2500 0.8619 0.6822  7 Pt 2.96-3.11


[8]
Pr3Sb4Pt3 | PBEsol | relaxed

For the uncorrected formation energy, the calculation gives -1.04 eV/atom. The total energy is -6.504 eV per atom. Its crystal system is cubic. As for the space-group type: I-43d (220). Its density is 10.3 Mg/m³.

abc: 8.5453 8.5453 8.5453
angles: 109.47 109.47 109.47
With the nearest neighbours (Å) after each atom.
Fractional coordinates of all 20 atoms:
Sb1 0.6625 0.0000 0.0000  3 Pt 2.75
Pr1 0.2500 0.8750 0.6250  4 Pt 3.02
Pr2 0.8750 0.1250 0.7500  4 Pt 3.02
Pr3 0.7500 0.6250 0.8750  4 Pt 3.02
Pr4 0.3750 0.7500 0.1250  4 Pt 3.02
Sb2 0.3375 0.3375 0.8375  3 Pt 2.75
Sb3 0.8375 0.8375 0.3375  3 Pt 2.75
Pt1 0.7500 0.1250 0.3750  4 Sb 2.75, 4 Pr 3.02
Pr5 0.6250 0.3750 0.2500  4 Pt 3.02
Sb4 0.1625 0.0000 0.0000  3 Pt 2.75
Sb5 0.0000 0.5000 0.6625  3 Pt 2.75
Sb6 0.0000 0.5000 0.1625  3 Pt 2.75
Sb7 0.5000 0.1625 0.5000  3 Pt 2.75
Pt2 0.3750 0.6250 0.7500  4 Sb 2.75, 4 Pr 3.02
Sb8 0.5000 0.6625 0.5000  3 Pt 2.75
Pr6 0.1250 0.2500 0.3750  4 Pt 3.02
Pt3 0.8750 0.7500 0.6250  4 Sb 2.75, 4 Pr 3.02
Pt4 0.1250 0.8750 0.2500  4 Sb 2.75, 4 Pr 3.02
Pt5 0.6250 0.2500 0.8750  4 Sb 2.75, 4 Pr 3.02
Pt6 0.2500 0.3750 0.1250  4 Sb 2.75, 4 Pr 3.02


[9]
PrSbPt | PBEsol | relaxed

For the uncorrected formation energy, the calculation gives -1.10 eV/atom. The total energy is -6.667 eV per atom. Its crystal system is hexagonal. As for the space-group type: P6_3/mmc (194). Its density is 10.5 Mg/m³.

abc: 4.5246 4.5246 8.1467
angles: 90.00 90.00 120.00
With the nearest neighbours (Å) after each atom.
Fractional coordinates of all 6 atoms:
Pt1 0.6667 0.3333 0.2500  3 Sb 2.61
Pr1 0.0000 0.0000 0.0000  6 Sb 3.31, 6 Pt 3.31
Sb1 0.6667 0.3333 0.7500  3 Pt 2.61
Pt2 0.3333 0.6667 0.7500  3 Sb 2.61
Pr2 0.0000 0.0000 0.5000  6 Pt 3.31, 6 Sb 3.31
Sb2 0.3333 0.6667 0.2500  3 Pt 2.61